Record 1
# HgGe2As2

A relaxed HgGe2As2 crystal (PBE-GGA, the Alexandria database).

## Properties
SG = C2/c, No. 15
DOS at the Fermi energy = 2.88 states/eV/cell
E = -3.562 eV per atom

The structure in extended XYZ format:
```
10
Lattice="7.133 0.500 -0.110 -0.992 7.081 -0.110 -2.804 -3.462 5.138" Properties=species:S:1:pos:R:3 pbc="T T T"
Hg -0.678 5.393 1.175
Hg 4.014 -1.274 3.744
Ge 3.500 2.190 2.785
Ge 0.519 -1.491 4.704
Ge 2.817 5.610 0.216
Ge -0.164 1.929 2.134
As 1.818 3.372 1.175
As 4.997 0.797 1.175
As -1.661 3.322 3.744
As 1.518 0.747 3.744
```

---

Record 2
# HgGeAsI2

A relaxed HgGeAsI2 crystal (PBE-GGA, the Alexandria database).

## Properties
SG = P4/mmm, No. 123
Formation energy (no corrections) = 0.752 eV per atom
DOS at the Fermi energy = 3.97 states/eV/cell

The structure in extended XYZ format:
```
5
Lattice="5.939 0.000 0.000 0.000 5.236 0.000 0.000 0.000 5.939" Properties=species:S:1:pos:R:3 pbc="T T T"
I 0.000 0.000 2.970
I 2.970 0.000 0.000
As 0.000 2.618 0.000
Ge 2.970 2.618 2.970
Hg 0.000 0.000 0.000
```

---

Record 3
# HgGeAsI

A relaxed HgGeAsI crystal (PBE-GGA, the Alexandria database).

## Properties
SG = Cm, No. 8
Formation energy (no corrections) = -0.058 eV per atom

The structure in extended XYZ format:
```
4
Lattice="-0.177 -1.072 -3.840 -3.041 -2.228 -1.312 -4.758 7.633 -1.913" Properties=species:S:1:pos:R:3 pbc="T T T"
Hg -5.500 6.099 -3.578
Ge -4.176 3.970 -3.044
As -4.684 1.966 -4.535
I -3.709 -1.068 -1.657
```

---

Record 4
# InHgGe2As

A relaxed InHgGe2As crystal (PBE-GGA, the Alexandria database).

## Properties
SG = P4/mmm, No. 123
DOS at the Fermi energy = 3.29 states/eV/cell
E = -2.849 eV per atom

The structure in extended XYZ format:
```
5
Lattice="5.073 0.000 0.000 0.000 5.638 0.000 0.000 0.000 5.073" Properties=species:S:1:pos:R:3 pbc="T T T"
As 0.000 0.000 0.000
Ge 0.000 0.000 2.536
Ge 2.536 0.000 0.000
Hg 2.536 2.819 2.536
In 0.000 2.819 0.000
```

---

Record 5
# LiHgGe2As

A relaxed LiHgGe2As crystal (PBE-GGA, the Alexandria database).

## Properties
SG = P4/mmm, No. 123
DOS at the Fermi energy = 2.41 states/eV/cell
E = -2.514 eV per atom

The structure in extended XYZ format:
```
5
Lattice="5.277 0.000 0.000 0.000 5.277 0.000 0.000 0.000 5.293" Properties=species:S:1:pos:R:3 pbc="T T T"
As 0.000 0.000 2.647
Ge 0.000 2.639 0.000
Ge 2.639 0.000 0.000
Hg 0.000 0.000 0.000
Li 2.639 2.639 2.647
```

---

Record 6
# HgGe2AsO8

A relaxed HgGe2AsO8 crystal (PBE-GGA, the Alexandria database).

## Properties
SG = P-3m1, No. 164
Formation energy (no corrections) = -0.874 eV per atom
DOS at the Fermi energy = 3.63 states/eV/cell

The structure in extended XYZ format:
```
12
Lattice="5.437 0.000 0.000 -2.718 4.709 0.000 0.000 0.000 6.432" Properties=species:S:1:pos:R:3 pbc="T T T"
Hg 0.000 0.000 3.216
Ge 0.000 3.139 4.830
Ge 2.718 1.570 1.602
As 0.000 0.000 0.000
O 0.000 1.428 5.270
O -1.482 3.994 5.270
O 1.482 3.994 5.270
O 1.237 0.714 1.162
O 2.718 1.570 3.351
O 0.000 3.139 3.081
O 2.718 3.280 1.162
O 4.200 0.714 1.162
```

---

Record 7
# HgGeAsP2

A relaxed HgGeAsP2 crystal (PBE-GGA, the Alexandria database).

## Properties
SG = P4/mmm, No. 123
DOS at the Fermi energy = 3.27 states/eV/cell
E = -3.124 eV per atom

The structure in extended XYZ format:
```
5
Lattice="4.750 0.000 0.000 0.000 5.092 0.000 0.000 0.000 4.750" Properties=species:S:1:pos:R:3 pbc="T T T"
P 0.000 0.000 2.375
P 2.375 0.000 0.000
As 2.375 2.546 2.375
Ge 0.000 0.000 0.000
Hg 0.000 2.546 0.000
```

---

Record 8
# HgGe2AsRu

A relaxed HgGe2AsRu crystal (PBE-GGA, the Alexandria database).

## Properties
SG = P4/mmm, No. 123
DOS at the Fermi energy = 4.80 states/eV/cell
E = -4.407 eV per atom

The structure in extended XYZ format:
```
5
Lattice="-1.605 3.704 2.706 -4.523 -1.666 -0.401 0.625 -2.663 4.017" Properties=species:S:1:pos:R:3 pbc="T T T"
Ru 0.000 0.000 0.000
As -2.261 -0.833 -0.201
Ge 0.312 -1.332 2.008
Ge -0.802 1.852 1.353
Hg -2.752 -0.313 3.161
```

---

Record 9
# HgGeAsRu2

A relaxed HgGeAsRu2 crystal (PBE-GGA, the Alexandria database).

## Properties
SG = P4/mmm, No. 123
DOS at the Fermi energy = 7.36 states/eV/cell
E = -3.701 eV per atom

The structure in extended XYZ format:
```
5
Lattice="-3.801 3.013 1.555 -3.012 -3.792 -0.015 1.208 -0.980 4.850" Properties=species:S:1:pos:R:3 pbc="T T T"
Ru 0.604 -0.490 2.425
Ru -1.900 1.506 0.778
As -2.802 -0.879 3.195
Ge -1.506 -1.896 -0.008
Hg 0.000 0.000 0.000
```

---

Record 10
# ScHg2GeAs

A relaxed ScHg2GeAs crystal (PBE-GGA, the Alexandria database).

## Properties
SG = P4/mmm, No. 123
DOS at the Fermi energy = 2.90 states/eV/cell
E = -2.826 eV per atom

The structure in extended XYZ format:
```
5
Lattice="5.465 0.000 0.000 0.000 5.045 0.000 0.000 0.000 5.465" Properties=species:S:1:pos:R:3 pbc="T T T"
Sc 0.000 0.000 0.000
As 0.000 2.523 0.000
Ge 2.733 2.523 2.733
Hg 0.000 0.000 2.733
Hg 2.733 0.000 0.000
```

---

Record 11
# HgGeAsSe2

A relaxed HgGeAsSe2 crystal (PBE-GGA, the Alexandria database).

## Properties
SG = P4/mmm, No. 123
Formation energy (no corrections) = 0.485 eV per atom
DOS at the Fermi energy = 4.27 states/eV/cell

The structure in extended XYZ format:
```
5
Lattice="5.022 0.000 0.000 0.000 5.022 0.000 0.000 0.000 5.116" Properties=species:S:1:pos:R:3 pbc="T T T"
As 0.000 0.000 2.558
Ge 0.000 0.000 0.000
Hg 2.511 2.511 2.558
Se 0.000 2.511 0.000
Se 2.511 0.000 0.000
```

---

Record 12
# HgGeAs2Se

A relaxed HgGeAs2Se crystal (PBE-GGA, the Alexandria database).

## Properties
SG = P4/mmm, No. 123
Formation energy (no corrections) = 0.620 eV per atom
DOS at the Fermi energy = 4.72 states/eV/cell

The structure in extended XYZ format:
```
5
Lattice="5.058 0.000 0.000 0.000 5.058 0.000 0.000 0.000 4.976" Properties=species:S:1:pos:R:3 pbc="T T T"
As 0.000 2.529 0.000
As 2.529 0.000 0.000
Ge 0.000 0.000 0.000
Hg 2.529 2.529 2.488
Se 0.000 0.000 2.488
```

---

The records above yield mass density values of 6.4, 5.4, 6.2, 6.1, 4.8, 5.5, 5.9, 7.6, 7.3, 6.5, 6.5, 6.5 g cm⁻³, respectively.